The following is a DFT calculation (PBE with a Hubbard U) of an optimized crystal structure of MgCoN2O.

Cell: 4.029 4.029 3.796 Å, 90.00 90.00 90.00°
Space group P4/mmm (No. 123)
Unique sites:
Mg 0.000 0.000 0.000 x1
Co 0.500 0.500 0.500 x1
N 0.000 0.500 0.000 x2
O 0.000 0.000 0.500 x1

## Properties
- uncorrected energy (eV/f.u.) = -22.041
- size of the total moment (μB/f.u.) = 0.76